[1]
NbGa2Ni7Pt2 | PBE | optimized geometry

Lattice parameters (Å, degrees): 3.663 3.663 11.814 90.00 90.00 90.36
Fractional positions:
Nb1 0.000 0.000 0.000
Ga1 0.000 0.000 0.316
Ga2 0.000 0.000 0.684
Ni1 0.000 0.500 0.153
Ni2 0.000 0.500 0.847
Ni3 0.241 0.759 0.500
Ni4 0.500 0.000 0.153
Ni5 0.500 0.000 0.847
Ni6 0.500 0.500 0.000
Ni7 0.759 0.241 0.500
Pt1 0.500 0.500 0.317
Pt2 0.500 0.500 0.683

Computed properties:
* Fermi-level density of states: 5.5 states/eV/f.u.
* space-group type: Cmmm (65)



[2]
ScNbGaNi | PBE | optimized geometry

Lattice parameters (Å, degrees): 4.537 4.537 4.537 60.00 60.00 60.00
Fractional positions:
Sc1 0.000 0.000 0.000
Nb1 0.500 0.500 0.500
Ga1 0.250 0.250 0.250
Ni1 0.750 0.750 0.750

Computed properties:
* Fermi-level density of states: 4.3 states/eV/f.u.
* space-group type: F-43m (216)



[3]
Np4NbGa12 | PBE | optimized geometry

Lattice parameters (Å, degrees): 7.522 7.522 7.522 109.47 109.47 109.47
Fractional positions:
Np1 0.000 0.000 0.500
Np2 0.000 0.500 0.000
Np3 0.500 0.000 0.000
Np4 0.500 0.500 0.500
Nb1 0.000 0.000 0.000
Ga1 0.000 0.299 0.299
Ga2 0.000 0.701 0.701
Ga3 0.250 0.500 0.750
Ga4 0.250 0.750 0.500
Ga5 0.299 0.000 0.299
Ga6 0.299 0.299 0.000
Ga7 0.500 0.250 0.750
Ga8 0.500 0.750 0.250
Ga9 0.701 0.000 0.701
Ga10 0.701 0.701 0.000
Ga11 0.750 0.250 0.500
Ga12 0.750 0.500 0.250

Computed properties:
* Fermi-level density of states: 39.4 states/eV/f.u.
* space-group type: Im-3m (229)



Number 1: energy of formation -249 meV per atom. Number 2: energy of formation -250 meV per atom. Number 3: energy of formation -189 meV per atom.